1.
Entry from Alexandria via LeMat-Bulk: TbHoCd3 after structural relaxation (PBE).

## Properties
The value obtained for the energy above the most stable polymorph in this dataset is 0.000 eV/atom. For the total magnetization, the calculation gives 0.0 μB per formula unit.

Geometry as POSCAR:
```
TbHoCd3
1.0
3.436 0.000 -0.473
0.000 4.958 0.000
0.293 0.000 14.840
Tb Ho Cd
2 2 6
direct
0.925 0.750 0.850 Tb
0.075 0.250 0.150 Tb
0.215 0.750 0.431 Ho
0.785 0.250 0.569 Ho
0.621 0.750 0.243 Cd
0.379 0.250 0.757 Cd
0.524 0.750 0.048 Cd
0.476 0.250 0.952 Cd
0.675 0.250 0.351 Cd
0.325 0.750 0.649 Cd
```

2.
Entry from Alexandria via LeMat-Bulk: TbHo3Cd4 after structural relaxation (PBE).

## Properties
For the total magnetization, the calculation gives 0.0 μB per formula unit.

Geometry as POSCAR:
```
TbHo3Cd4
1.0
-4.916 -0.571 -1.792
-0.830 -6.167 4.241
-3.578 5.931 7.925
Tb Ho Cd
2 6 8
direct
0.000 0.500 0.000 Tb
0.000 0.500 0.500 Tb
0.000 0.000 0.000 Ho
0.000 0.000 0.500 Ho
0.500 0.000 0.750 Ho
0.500 0.000 0.250 Ho
0.500 0.500 0.750 Ho
0.500 0.500 0.250 Ho
0.500 0.752 0.000 Cd
0.500 0.752 0.500 Cd
0.500 0.248 0.000 Cd
0.500 0.248 0.500 Cd
0.000 0.752 0.750 Cd
0.000 0.752 0.250 Cd
0.000 0.248 0.250 Cd
0.000 0.248 0.750 Cd
```

3.
Entry from Alexandria via LeMat-Bulk: Tb3Ho2Cd2 after structural relaxation (PBE).

## Properties
The value obtained for the energy above the most stable polymorph in this dataset is 0.104 eV/atom. For the total magnetization, the calculation gives 0.0 μB per formula unit.

Geometry as POSCAR:
```
Tb3Ho2Cd2
1.0
5.024 0.000 0.667
0.000 3.465 0.000
1.017 0.000 11.600
Tb Ho Cd
3 2 2
direct
0.853 0.000 0.294 Tb
0.000 0.000 0.000 Tb
0.147 0.000 0.706 Tb
0.710 0.500 0.579 Ho
0.290 0.500 0.421 Ho
0.569 0.500 0.862 Cd
0.431 0.500 0.138 Cd
```

4.
Entry from Alexandria via LeMat-Bulk: TbHoCd after structural relaxation (PBE).

## Properties
The value obtained for the energy above the most stable polymorph in this dataset is 0.290 eV/atom. For the total magnetization, the calculation gives 0.0 μB per formula unit.

Geometry as POSCAR:
```
TbHoCd
1.0
-3.945 3.283 -0.299
-3.353 0.349 3.880
-0.078 4.201 2.961
Tb Ho Cd
1 1 1
direct
0.750 0.750 0.750 Tb
0.250 0.250 0.250 Ho
0.000 0.000 0.000 Cd
```

5.
Entry from Alexandria via LeMat-Bulk: TbHo4Cd2 after structural relaxation (PBE).

## Properties
For the total magnetization, the calculation gives 0.0 μB per formula unit.

Geometry as POSCAR:
```
TbHo4Cd2
1.0
5.081 0.000 0.000
2.541 4.401 0.000
2.541 1.467 10.171
Tb Ho Cd
1 4 2
direct
0.500 0.500 0.500 Tb
0.703 0.703 0.891 Ho
0.893 0.893 0.320 Ho
0.297 0.297 0.109 Ho
0.107 0.107 0.680 Ho
0.600 0.600 0.199 Cd
0.400 0.400 0.801 Cd
```

6.
Entry from Alexandria via LeMat-Bulk: TbHo2Cd after structural relaxation (PBE).

## Properties
The value obtained for the energy above the most stable polymorph in this dataset is 0.060 eV/atom. For the total magnetization, the calculation gives 0.3 μB per formula unit.

Geometry as POSCAR:
```
TbHo2Cd
1.0
4.830 0.000 0.000
0.000 4.838 0.000
0.000 0.000 4.838
Tb Ho Cd
1 2 1
direct
0.500 0.500 0.500 Tb
0.000 0.000 0.500 Ho
0.000 0.500 0.000 Ho
0.500 0.000 0.000 Cd
```

7.
Entry from Alexandria via LeMat-Bulk: Tb7Ho12Cd after structural relaxation (PBE).

## Properties
For the total magnetization, the calculation gives 0.0 μB per formula unit.

Geometry as POSCAR:
```
Tb7Ho12Cd
1.0
-6.388 2.049 5.415
-5.696 -5.113 -3.967
1.586 -6.679 5.215
Tb Ho Cd
7 12 1
direct
0.851 0.603 0.924 Tb
0.397 0.076 0.149 Tb
0.076 0.149 0.397 Tb
0.500 0.500 0.500 Tb
0.924 0.851 0.603 Tb
0.603 0.924 0.851 Tb
0.149 0.397 0.076 Tb
0.859 0.246 0.742 Ho
0.754 0.258 0.141 Ho
0.615 0.138 0.500 Ho
0.862 0.500 0.385 Ho
0.258 0.141 0.754 Ho
0.500 0.385 0.862 Ho
0.500 0.615 0.138 Ho
0.742 0.859 0.246 Ho
0.138 0.500 0.615 Ho
0.385 0.862 0.500 Ho
0.246 0.742 0.859 Ho
0.141 0.754 0.258 Ho
0.000 0.000 0.000 Cd
```

8.
Entry from Alexandria via LeMat-Bulk: TbHo2Cd5 after structural relaxation (PBE).

## Properties
For the total magnetization, the calculation gives 0.0 μB per formula unit.

Geometry as POSCAR:
```
TbHo2Cd5
1.0
5.126 0.000 0.000
0.000 5.126 0.000
-2.563 -2.563 7.482
Tb Ho Cd
1 2 5
direct
0.000 0.000 0.000 Tb
0.739 0.739 0.478 Ho
0.261 0.261 0.522 Ho
0.500 0.500 0.000 Cd
0.879 0.379 0.759 Cd
0.379 0.879 0.759 Cd
0.121 0.621 0.241 Cd
0.621 0.121 0.241 Cd
```

9.
Entry from Alexandria via LeMat-Bulk: Tb2HoCd6 after structural relaxation (PBE).

## Properties
For the total magnetization, the calculation gives 0.0 μB per formula unit.

Geometry as POSCAR:
```
Tb2HoCd6
1.0
-3.103 0.139 1.441
-3.430 -3.622 -7.040
2.788 -4.964 6.483
Tb Ho Cd
2 1 6
direct
0.000 0.333 0.667 Tb
0.000 0.667 0.333 Tb
0.000 0.000 0.000 Ho
0.500 0.333 0.333 Cd
0.500 0.667 0.667 Cd
0.500 0.000 0.667 Cd
0.500 0.667 0.000 Cd
0.500 0.333 0.000 Cd
0.500 0.000 0.333 Cd
```

10.
Entry from Alexandria via LeMat-Bulk: Tb8Ho2Cd after structural relaxation (PBE).

## Properties
The value obtained for the energy above the most stable polymorph in this dataset is 0.000 eV/atom. For the total magnetization, the calculation gives 0.0 μB per formula unit.

Geometry as POSCAR:
```
Tb8Ho2Cd
1.0
-4.797 -0.060 1.344
3.799 -2.231 4.225
2.006 9.810 7.597
Tb Ho Cd
8 2 1
direct
0.591 0.182 0.361 Tb
0.761 0.522 0.089 Tb
0.862 0.723 0.452 Tb
0.962 0.924 0.822 Tb
0.138 0.277 0.548 Tb
0.239 0.478 0.911 Tb
0.409 0.818 0.639 Tb
0.038 0.076 0.178 Tb
0.686 0.371 0.735 Ho
0.314 0.629 0.265 Ho
0.500 0.000 0.000 Cd
```

11.
Entry from Alexandria via LeMat-Bulk: Tb5Ho4Cd2 after structural relaxation (PBE).

## Properties
For the total magnetization, the calculation gives 0.0 μB per formula unit.

Geometry as POSCAR:
```
Tb5Ho4Cd2
1.0
-1.440 3.147 -0.310
-4.610 -2.768 -6.673
-7.756 -2.819 7.404
Tb Ho Cd
5 4 2
direct
0.000 0.563 0.300 Tb
0.000 0.202 0.164 Tb
0.000 0.500 0.000 Tb
0.000 0.798 0.836 Tb
0.000 0.437 0.700 Tb
0.500 0.735 0.550 Ho
0.500 0.149 0.881 Ho
0.500 0.265 0.450 Ho
0.500 0.851 0.119 Ho
0.000 0.058 0.634 Cd
0.000 0.942 0.366 Cd
```

12.
Entry from Alexandria via LeMat-Bulk: TbHo2Cd after structural relaxation (PBE).

## Properties
The value obtained for the energy above the most stable polymorph in this dataset is 0.072 eV/atom. For the total magnetization, the calculation gives 0.0 μB per formula unit.

Geometry as POSCAR:
```
TbHo2Cd
1.0
3.555 0.000 0.000
1.778 3.079 0.000
1.778 1.026 10.757
Tb Ho Cd
1 2 1
direct
0.500 0.500 0.500 Tb
0.255 0.255 0.234 Ho
0.745 0.745 0.766 Ho
0.000 0.000 0.000 Cd
```

13.
Entry from Alexandria via LeMat-Bulk: TbHoThCd after structural relaxation (PBE).

## Properties
The value obtained for the energy above the most stable polymorph in this dataset is 0.267 eV/atom. For the total magnetization, the calculation gives 0.9 μB per formula unit.

Geometry as POSCAR:
```
TbHoThCd
1.0
5.472 0.000 0.000
2.736 4.739 0.000
2.736 1.580 4.468
Tb Ho Th Cd
1 1 1 1
direct
0.500 0.500 0.500 Tb
0.000 0.000 0.000 Ho
0.250 0.250 0.250 Th
0.750 0.750 0.750 Cd
```

14.
Entry from Alexandria via LeMat-Bulk: TbHoThCd after structural relaxation (PBE).

## Properties
The value obtained for the energy above the most stable polymorph in this dataset is 0.000 eV/atom. For the total magnetization, the calculation gives 0.0 μB per formula unit.

Geometry as POSCAR:
```
TbHoThCd
1.0
3.610 0.000 0.000
0.000 3.610 0.000
0.000 0.000 8.852
Tb Ho Th Cd
1 1 1 1
direct
0.000 0.000 0.090 Tb
0.000 0.000 0.552 Ho
0.500 0.500 0.819 Th
0.500 0.500 0.324 Cd
```

15.
Entry from Alexandria via LeMat-Bulk: TbYHoCd after structural relaxation (PBE).

## Properties
The value obtained for the energy above the most stable polymorph in this dataset is 0.128 eV/atom. For the total magnetization, the calculation gives 0.0 μB per formula unit.

Geometry as POSCAR:
```
TbYHoCd
1.0
-2.141 -4.090 2.888
3.257 -3.726 2.272
0.626 -0.134 5.408
Y Tb Ho Cd
1 1 1 1
direct
0.750 0.750 0.750 Y
0.250 0.250 0.250 Tb
0.000 0.000 0.000 Ho
0.500 0.500 0.500 Cd
```

16.
Entry from Alexandria via LeMat-Bulk: TbYHoCd after structural relaxation (PBE).

## Properties
The value obtained for the energy above the most stable polymorph in this dataset is 0.000 eV/atom. For the total magnetization, the calculation gives 0.0 μB per formula unit.

Geometry as POSCAR:
```
TbYHoCd
1.0
-1.302 3.131 -1.169
-0.335 -1.371 -3.298
-8.387 -2.744 1.992
Tb Y Ho Cd
1 1 1 1
direct
0.000 0.000 0.074 Tb
0.500 0.500 0.797 Y
0.500 0.500 0.345 Ho
0.000 0.000 0.569 Cd
```

17.
Entry from Alexandria via LeMat-Bulk: Ho6Cd2Tc after structural relaxation (PBE).

## Properties
The value obtained for the energy above the most stable polymorph in this dataset is 0.220 eV/atom. For the total magnetization, the calculation gives 0.0 μB per formula unit.

Geometry as POSCAR:
```
Ho6Cd2Tc
1.0
5.117 0.000 -0.199
0.000 7.126 0.000
-2.269 -3.563 7.463
Ho Cd Tc
6 2 1
direct
0.154 0.397 0.310 Ho
0.846 0.087 0.690 Ho
0.846 0.603 0.690 Ho
0.500 0.227 0.000 Ho
0.154 0.913 0.310 Ho
0.500 0.773 0.000 Ho
0.666 0.666 0.332 Cd
0.334 0.334 0.668 Cd
0.000 0.000 0.000 Tc
```

18.
Entry from Alexandria via LeMat-Bulk: Ho2CdTc after structural relaxation (PBE).

## Properties
For the total magnetization, the calculation gives 0.0 μB per formula unit.

Geometry as POSCAR:
```
Ho2CdTc
1.0
-2.341 -2.483 0.212
0.982 -3.274 0.068
0.089 -1.539 10.529
Tc Ho Cd
1 2 1
direct
0.500 0.500 0.500 Tc
0.103 0.103 0.690 Ho
0.897 0.897 0.310 Ho
0.000 0.000 0.000 Cd
```

19.
Entry from Alexandria via LeMat-Bulk: Ho8Cd2Tc after structural relaxation (PBE).

## Properties
For the total magnetization, the calculation gives 0.0 μB per formula unit.

Geometry as POSCAR:
```
Ho8Cd2Tc
1.0
-0.349 2.593 -4.675
-6.825 0.894 1.005
4.596 5.339 5.687
Ho Cd Tc
8 2 1
direct
0.405 0.583 0.810 Ho
0.653 0.945 0.305 Ho
0.806 0.724 0.612 Ho
0.980 0.211 0.959 Ho
0.194 0.276 0.388 Ho
0.347 0.055 0.695 Ho
0.595 0.417 0.190 Ho
0.020 0.789 0.041 Ho
0.817 0.301 0.633 Cd
0.183 0.699 0.367 Cd
0.500 0.000 0.000 Tc
```

20.
Entry from Alexandria via LeMat-Bulk: Ho7Cd2Tc2 after structural relaxation (PBE).

## Properties
For the total magnetization, the calculation gives 0.0 μB per formula unit.

Geometry as POSCAR:
```
Ho7Cd2Tc2
1.0
-0.893 5.794 -3.050
3.356 -2.753 -6.213
-4.993 -4.252 -0.813
Ho Cd Tc
7 2 2
direct
0.000 0.268 0.500 Ho
0.500 0.732 0.000 Ho
0.000 0.732 0.500 Ho
0.500 0.268 0.000 Ho
0.000 0.000 0.000 Ho
0.500 0.780 0.500 Ho
0.500 0.220 0.500 Ho
0.814 0.500 0.814 Cd
0.186 0.500 0.186 Cd
0.700 0.000 0.300 Tc
0.300 0.000 0.700 Tc
```

21.
Entry from Alexandria via LeMat-Bulk: Ho2CdTc after structural relaxation (PBE).

## Properties
For the total magnetization, the calculation gives 0.0 μB per formula unit.

Geometry as POSCAR:
```
Ho2CdTc
1.0
-0.557 3.118 1.478
-3.006 0.296 -1.758
-3.651 -3.344 5.681
Tc Ho Cd
1 2 1
direct
0.500 0.500 0.000 Tc
0.000 0.000 0.785 Ho
0.000 0.000 0.215 Ho
0.500 0.500 0.500 Cd
```

22.
Entry from Alexandria via LeMat-Bulk: Ho5CdTc after structural relaxation (PBE).

## Properties
For the total magnetization, the calculation gives 0.0 μB per formula unit.

Geometry as POSCAR:
```
Ho5CdTc
1.0
5.880 -0.282 -0.019
1.598 5.666 -0.019
2.686 1.934 11.388
Ho Cd Tc
10 2 2
direct
0.924 0.583 0.126 Ho
0.205 0.541 0.566 Ho
0.583 0.924 0.626 Ho
0.991 0.009 0.250 Ho
0.459 0.795 0.934 Ho
0.541 0.205 0.066 Ho
0.009 0.991 0.750 Ho
0.417 0.076 0.374 Ho
0.795 0.459 0.434 Ho
0.076 0.417 0.874 Ho
0.406 0.594 0.250 Cd
0.594 0.406 0.750 Cd
0.000 0.000 0.000 Tc
0.000 0.000 0.500 Tc
```

23.
Entry from Alexandria via LeMat-Bulk: HoCdTc4 after structural relaxation (PBE).

## Properties
For the total magnetization, the calculation gives 0.0 μB per formula unit.

Geometry as POSCAR:
```
HoCdTc4
1.0
-4.591 -0.428 -2.644
0.024 -0.825 -5.251
-1.510 -4.705 -1.958
Tc Ho Cd
4 1 1
direct
0.626 0.626 0.123 Tc
0.626 0.123 0.626 Tc
0.626 0.626 0.626 Tc
0.123 0.626 0.626 Tc
0.250 0.250 0.250 Ho
0.000 0.000 0.000 Cd
```

24.
Entry from Alexandria via LeMat-Bulk: Ho6CdTc after structural relaxation (PBE).

## Properties
For the total magnetization, the calculation gives 0.0 μB per formula unit.

Geometry as POSCAR:
```
Ho6CdTc
1.0
6.423 0.534 0.000
2.019 7.043 0.000
1.010 3.522 5.513
Ho Cd Tc
6 1 1
direct
0.744 0.491 0.621 Ho
0.744 0.112 0.379 Ho
0.256 0.888 0.621 Ho
0.256 0.509 0.379 Ho
0.738 0.727 0.000 Ho
0.262 0.273 0.000 Ho
0.000 0.000 0.000 Cd
0.500 0.500 0.000 Tc
```

Total energy list, top to bottom, in eV per atom: -2.68; -3.07; -3.61; -3.28; -3.32; -3.76; -4.23; -2.60; -2.46; -4.29; -3.92; -3.75; -4.28; -4.55; -4.17; -4.30; -4.35; -4.90; -4.57; -4.99; -5.31; -4.88; -7.75; -4.73